Record 1
Density functional theory data (PBE) for a geometry-optimized SrZrAs2 structure.

## Properties
total DFT energy (no corrections): -0.39971 Ry/atom
DOS at the Fermi energy: 0.6552 states/eV per atom

```
data_SrZrAs2
_symmetry_space_group_name_H-M 'P 1'
_symmetry_Int_Tables_number 1
_cell_length_a 3.749
_cell_length_b 4.492
_cell_length_c 5.595
_cell_angle_alpha 90.00
_cell_angle_beta 90.00
_cell_angle_gamma 90.00
loop_
_symmetry_equiv_pos_as_xyz
'x,y,z'
loop_
_atom_site_label
_atom_site_fract_x
_atom_site_fract_y
_atom_site_fract_z
Sr1 0.000 0.000 0.000
Zr1 0.000 0.500 0.500
As1 0.500 0.000 0.500
As2 0.500 0.500 0.000
```

---

Record 2
Density functional theory data (PBE) for a geometry-optimized LiCd2Ir structure.

## Properties
total DFT energy (no corrections): -0.22920 Ry/atom
DOS at the Fermi energy: 0.2812 states/eV per atom

```
data_LiCd2Ir
_symmetry_space_group_name_H-M 'P 1'
_symmetry_Int_Tables_number 1
_cell_length_a 3.255
_cell_length_b 3.255
_cell_length_c 6.442
_cell_angle_alpha 90.00
_cell_angle_beta 90.00
_cell_angle_gamma 90.00
loop_
_symmetry_equiv_pos_as_xyz
'x,y,z'
loop_
_atom_site_label
_atom_site_fract_x
_atom_site_fract_y
_atom_site_fract_z
Li1 0.000 0.000 0.000
Cd1 0.000 0.000 0.565
Cd2 0.500 0.500 0.250
Ir1 0.500 0.500 0.814
```

---

Record 3
Density functional theory data (PBE) for a geometry-optimized NaMnSb2 structure.

## Properties
raw formation energy: 0.00 eV per atom
DOS at the Fermi energy: 0.2684 states/eV per atom

```
data_NaMnSb2
_symmetry_space_group_name_H-M 'P 1'
_symmetry_Int_Tables_number 1
_cell_length_a 3.189
_cell_length_b 3.189
_cell_length_c 8.278
_cell_angle_alpha 90.00
_cell_angle_beta 90.00
_cell_angle_gamma 90.00
loop_
_symmetry_equiv_pos_as_xyz
'x,y,z'
loop_
_atom_site_label
_atom_site_fract_x
_atom_site_fract_y
_atom_site_fract_z
Na1 0.000 0.000 0.000
Mn1 0.000 0.000 0.500
Sb1 0.500 0.500 0.308
Sb2 0.500 0.500 0.692
```

---

Record 4
Density functional theory data (PBE) for a geometry-optimized Tl3InCl8 structure.

## Properties
raw formation energy: -0.70 eV per atom
DOS at the Fermi energy: 0.7148 states/eV per atom

```
data_Tl3InCl8
_symmetry_space_group_name_H-M 'P 1'
_symmetry_Int_Tables_number 1
_cell_length_a 8.466
_cell_length_b 8.466
_cell_length_c 8.466
_cell_angle_alpha 130.93
_cell_angle_beta 130.93
_cell_angle_gamma 71.92
loop_
_symmetry_equiv_pos_as_xyz
'x,y,z'
loop_
_atom_site_label
_atom_site_fract_x
_atom_site_fract_y
_atom_site_fract_z
Tl1 0.000 0.000 0.000
Tl2 0.250 0.750 0.500
Tl3 0.750 0.250 0.500
In1 0.500 0.500 0.000
Cl1 0.153 0.153 0.543
Cl2 0.153 0.611 0.000
Cl3 0.389 0.389 0.543
Cl4 0.389 0.847 0.000
Cl5 0.611 0.153 0.000
Cl6 0.611 0.611 0.457
Cl7 0.847 0.389 0.000
Cl8 0.847 0.847 0.457
```

---

Q: Look up the DOS at the Fermi energy of the first one.
A: 0.6552 states/eV per atom

---

Repeat the first record exactly.
Density functional theory data (PBE) for a geometry-optimized SrZrAs2 structure.

## Properties
total DFT energy (no corrections): -0.39971 Ry/atom
DOS at the Fermi energy: 0.6552 states/eV per atom

```
data_SrZrAs2
_symmetry_space_group_name_H-M 'P 1'
_symmetry_Int_Tables_number 1
_cell_length_a 3.749
_cell_length_b 4.492
_cell_length_c 5.595
_cell_angle_alpha 90.00
_cell_angle_beta 90.00
_cell_angle_gamma 90.00
loop_
_symmetry_equiv_pos_as_xyz
'x,y,z'
loop_
_atom_site_label
_atom_site_fract_x
_atom_site_fract_y
_atom_site_fract_z
Sr1 0.000 0.000 0.000
Zr1 0.000 0.500 0.500
As1 0.500 0.000 0.500
As2 0.500 0.500 0.000
```

---

Q: Among the records above, which one has the highest DOS at the Fermi energy?
A: Tl3InCl8